1.
Material: ZrMo2Br
Method: DFT, SCAN
State: PBEsol geometry

The structure in POSCAR format:
```
ZrMo2Br
1.0
3.197 0.000 0.000
0.000 4.279 0.000
0.000 0.000 5.027
Zr Mo Br
1 2 1
Direct
0.000 0.000 0.000 Zr
0.000 0.500 0.500 Mo
0.500 0.000 0.500 Mo
0.500 0.500 0.000 Br
```

Properties
Its formation energy (no corrections) is 476 meV per atom. The space group is No. 47.

=====

2.
Material: CaZr2Pt2
Method: DFT, SCAN
State: PBEsol geometry

The structure in POSCAR format:
```
CaZr2Pt2
1.0
-2.304 2.304 5.284
2.304 -2.304 5.284
2.304 2.304 -5.284
Ca Zr Pt
1 2 2
Direct
0.000 0.000 0.000 Ca
0.250 0.750 0.500 Zr
0.750 0.250 0.500 Zr
0.377 0.377 0.000 Pt
0.623 0.623 0.000 Pt
```

Properties
The energy above the lowest structure with this stoichiometry comes out at 0.0 kJ per mole of atoms. The space group is No. 139. The calculated formation energy comes out at -5.37 eV/f.u.

=====

3.
Material: ZnRhBr2
Method: DFT, SCAN
State: PBEsol geometry

The structure in POSCAR format:
```
ZnRhBr2
1.0
0.000 3.329 3.329
3.329 0.000 3.329
3.329 3.329 0.000
Zn Rh Br
1 1 2
Direct
0.000 0.000 0.000 Zn
0.250 0.250 0.250 Rh
0.500 0.500 0.500 Br
0.750 0.750 0.750 Br
```

Properties
The energy above the lowest structure with this stoichiometry comes out at 90.0 kJ per mole of atoms. Its formation energy (no corrections) is 718 meV per atom. The space group is No. 216.

=====

4.
Material: TeP3Pd
Method: DFT, SCAN
State: PBEsol geometry

The structure in POSCAR format:
```
TeP3Pd
1.0
4.637 0.000 0.000
0.000 4.637 0.000
0.000 0.000 4.637
Te P Pd
1 3 1
Direct
0.000 0.000 0.000 Te
0.000 0.500 0.500 P
0.500 0.000 0.500 P
0.500 0.500 0.000 P
0.500 0.500 0.500 Pd
```

Properties
Its formation energy (no corrections) is 817 meV per atom. The space group is No. 221.

=====

5.
Material: Mg2Ir
Method: DFT, SCAN
State: PBEsol geometry

The structure in POSCAR format:
```
Mg2Ir
1.0
5.497 0.000 0.000
0.000 4.282 0.000
0.000 0.000 8.256
Mg Ir
8 4
Direct
0.082 0.250 0.212 Mg
0.163 0.250 0.559 Mg
0.337 0.750 0.059 Mg
0.418 0.750 0.712 Mg
0.582 0.250 0.288 Mg
0.663 0.250 0.941 Mg
0.837 0.750 0.441 Mg
0.918 0.750 0.788 Mg
0.168 0.250 0.885 Ir
0.332 0.750 0.385 Ir
0.668 0.250 0.615 Ir
0.832 0.750 0.115 Ir
```

Properties
The space group is No. 62. The calculated formation energy comes out at -1.20 eV/f.u.

=====

6.
Material: KTiB3
Method: DFT, SCAN
State: PBEsol geometry

The structure in POSCAR format:
```
KTiB3
1.0
4.145 0.000 0.000
0.000 4.145 0.000
0.000 0.000 4.145
K Ti B
1 1 3
Direct
0.000 0.000 0.000 K
0.500 0.500 0.500 Ti
0.000 0.000 0.500 B
0.000 0.500 0.000 B
0.500 0.000 0.000 B
```

Properties
The space group is No. 221. The calculated formation energy comes out at 15.83 eV/f.u.

=====

7.
Material: NaMnP3O9
Method: DFT, SCAN
State: PBEsol geometry

The structure in POSCAR format:
```
NaMnP3O9
1.0
8.719 0.000 0.000
0.000 8.731 0.000
0.000 0.000 8.930
Na Mn P O
4 4 12 36
Direct
0.120 0.095 0.357 Na
0.380 0.905 0.857 Na
0.620 0.405 0.643 Na
0.880 0.595 0.143 Na
0.105 0.874 0.089 Mn
0.395 0.126 0.589 Mn
0.605 0.626 0.911 Mn
0.895 0.374 0.411 Mn
0.059 0.943 0.692 P
0.075 0.713 0.440 P
0.226 0.557 0.937 P
0.274 0.443 0.437 P
0.425 0.287 0.940 P
0.441 0.057 0.192 P
0.559 0.557 0.308 P
0.575 0.787 0.560 P
0.726 0.943 0.063 P
0.774 0.057 0.563 P
0.925 0.213 0.060 P
0.941 0.443 0.808 P
0.031 0.788 0.598 O
0.054 0.111 0.108 O
0.103 0.898 0.847 O
0.113 0.511 0.801 O
0.126 0.834 0.331 O
0.135 0.631 0.060 O
0.141 0.356 0.374 O
0.162 0.050 0.607 O
0.219 0.609 0.493 O
0.281 0.391 0.993 O
0.338 0.950 0.107 O
0.359 0.644 0.874 O
0.365 0.369 0.560 O
0.374 0.166 0.831 O
0.387 0.489 0.301 O
0.397 0.102 0.347 O
0.446 0.889 0.608 O
0.469 0.212 0.098 O
0.531 0.712 0.402 O
0.554 0.389 0.892 O
0.603 0.602 0.153 O
0.613 0.989 0.199 O
0.626 0.666 0.669 O
0.635 0.869 0.940 O
0.641 0.144 0.626 O
0.662 0.450 0.393 O
0.719 0.891 0.507 O
0.781 0.109 0.007 O
0.838 0.550 0.893 O
0.859 0.856 0.126 O
0.865 0.131 0.440 O
0.874 0.334 0.169 O
0.887 0.011 0.699 O
0.897 0.398 0.653 O
0.946 0.611 0.392 O
0.969 0.288 0.902 O
```

Properties
Its formation energy (no corrections) is -2423 meV per atom. The space group is No. 19.

=====

8.
Material: Sc3AlIn
Method: DFT, SCAN
State: PBEsol geometry

The structure in POSCAR format:
```
Sc3AlIn
1.0
5.212 0.000 0.000
0.000 5.212 0.000
0.000 0.000 5.212
Sc Al In
3 1 1
Direct
0.000 0.000 0.500 Sc
0.000 0.500 0.000 Sc
0.500 0.000 0.000 Sc
0.500 0.500 0.500 Al
0.000 0.000 0.000 In
```

Properties
The space group is No. 221. The calculated formation energy comes out at 2.01 eV/f.u.

=====

9.
Material: AlFeCu2
Method: DFT, SCAN
State: PBEsol geometry

The structure in POSCAR format:
```
AlFeCu2
1.0
3.540 0.000 0.000
0.000 3.540 0.000
0.000 0.000 3.712
Al Fe Cu
1 1 2
Direct
0.000 0.000 0.000 Al
0.500 0.500 0.000 Fe
0.000 0.500 0.500 Cu
0.500 0.000 0.500 Cu
```

Properties
The space group is No. 123. The calculated formation energy comes out at -0.75 eV/f.u.

=====

10.
Material: MgCu4Ni
Method: DFT, SCAN
State: PBEsol geometry

The structure in POSCAR format:
```
MgCu4Ni
1.0
0.000 3.339 3.339
3.339 0.000 3.339
3.339 3.339 0.000
Mg Cu Ni
1 4 1
Direct
0.000 0.000 0.000 Mg
0.126 0.625 0.625 Cu
0.625 0.126 0.625 Cu
0.625 0.625 0.126 Cu
0.625 0.625 0.625 Cu
0.250 0.250 0.250 Ni
```

Properties
The space group is No. 216. The calculated formation energy comes out at 0.13 eV/f.u.

=====

11.
Material: Cs2LiTiCo
Method: DFT, SCAN
State: PBEsol geometry

The structure in POSCAR format:
```
Cs2LiTiCo
1.0
7.139 0.000 0.000
0.000 7.139 0.000
0.000 0.000 4.074
Cs Li Ti Co
2 1 1 1
Direct
0.000 0.500 0.000 Cs
0.500 0.000 0.000 Cs
0.000 0.000 0.500 Li
0.500 0.500 0.000 Ti
0.500 0.500 0.500 Co
```

Properties
The space group is No. 123. The calculated formation energy comes out at 4.93 eV/f.u.

=====

12.
Material: BaLiHg2
Method: DFT, SCAN
State: PBEsol geometry

The structure in POSCAR format:
```
BaLiHg2
1.0
-2.256 2.825 4.307
2.256 -2.825 4.307
2.256 2.825 -4.307
Ba Li Hg
1 1 2
Direct
0.000 0.000 0.000 Ba
0.292 0.792 0.500 Li
0.474 0.474 0.000 Hg
0.712 0.212 0.500 Hg
```

Properties
The space group is No. 44. The calculated formation energy comes out at -1.60 eV/f.u.